Here is a relaxed structure of K3Dy3MoO8 from Alexandria. Energies are from PBE+U.

a = 6.785 Å, b = 6.831 Å, c = 7.418 Å
α = 117.34°, β = 90.00°, γ = 119.77°
Positions (direct):
K 0.000 0.000 0.000
K 0.000 0.500 0.000
K 0.500 0.500 0.000
Dy 0.500 0.000 0.500
Dy 0.500 0.500 0.500
Dy 0.000 0.500 0.500
Mo 0.000 0.000 0.500
O 0.274 0.548 0.318
O 0.726 0.452 0.682
O 0.783 0.566 0.325
O 0.217 0.434 0.675
O 0.790 0.039 0.328
O 0.210 0.961 0.672
O 0.248 0.039 0.328
O 0.752 0.961 0.672

Its space group is C2/m. For the total energy, the calculation gives -6.836 eV per atom. As for the density of states at the Fermi level: 0.000 states/eV per atom.